1.
The following is a PBE-GGA calculation of crystalline Tb6PrYTm2 at its relaxed geometry, from Alexandria.

Cell lengths 9.623, 8.787, 8.787 Å; angles 117.71, 93.98, 93.98 degrees
Sites, in units of the cell vectors:
Pr (0.750, 0.594, 0.406)
Pr (0.250, 0.406, 0.594)
Tb (0.621, 0.497, 0.708)
Tb (0.818, 0.429, 0.974)
Tb (0.318, 0.974, 0.429)
Tb (0.121, 0.708, 0.497)
Tb (0.445, 0.247, 0.881)
Tb (0.945, 0.881, 0.247)
Tb (0.682, 0.026, 0.571)
Tb (0.182, 0.571, 0.026)
Tb (0.055, 0.119, 0.753)
Tb (0.379, 0.503, 0.292)
Tb (0.879, 0.292, 0.503)
Tb (0.555, 0.753, 0.119)
Tm (0.544, 0.193, 0.298)
Tm (0.456, 0.807, 0.702)
Tm (0.044, 0.298, 0.193)
Tm (0.956, 0.702, 0.807)
Y (0.750, 0.025, 0.975)
Y (0.250, 0.975, 0.025)

* energy: -4.6760 eV/atom
* E_form: 0.121 eV/atom
* calculated density: 7.75 g/cm3

=====

2.
The following is a PBE-GGA calculation of crystalline NaTbPb2Br8 at its relaxed geometry, from Alexandria.

Cell lengths 7.158, 6.803, 8.930 Å; angles 90.00, 90.00, 89.41 degrees
Sites, in units of the cell vectors:
Br (0.151, 0.769, 0.235)
Br (0.325, 0.237, 0.000)
Br (0.675, 0.763, 0.000)
Br (0.340, 0.263, 0.500)
Br (0.849, 0.231, 0.235)
Br (0.660, 0.737, 0.500)
Br (0.849, 0.231, 0.765)
Br (0.151, 0.769, 0.765)
Pb (0.500, 0.500, 0.255)
Pb (0.500, 0.500, 0.745)
Tb (0.000, 0.000, 0.000)
Na (0.000, 0.000, 0.500)

* energy: -3.5564 eV/atom
* ΔE_f (raw): -1.327 eV/atom
* calculated density: 4.72 g/cm3

=====

3.
The following is a PBE-GGA calculation of crystalline CeSmTe6 at its relaxed geometry, from Alexandria.

Cell lengths 4.400, 4.401, 13.628 Å; angles 90.00, 99.29, 90.00 degrees
Site moments in Bohr magnetons follow the coordinates.
Sites, in units of the cell vectors:
Ce (0.171, 0.500, 0.342)  0.55
Te (0.921, 0.500, 0.843)  0.00
Te (0.080, 0.000, 0.160)  -0.02
Te (0.706, 0.000, 0.411)  -0.03
Te (0.580, 0.500, 0.160)  -0.02
Te (0.293, 0.500, 0.585)  -0.01
Te (0.421, 0.000, 0.843)  0.00
Sm (0.828, 0.000, 0.657)  0.00

* energy: -4.6637 eV/atom
* ΔE_f (raw): -0.976 eV/atom
* calculated density: 6.73 g/cm3

=====

4.
The following is a PBE-GGA calculation of crystalline TbPm6Sm2Tm at its relaxed geometry, from Alexandria.

Cell lengths 9.710, 8.940, 8.940 Å; angles 118.08, 94.03, 94.03 degrees
Sites, in units of the cell vectors:
Pm (0.381, 0.504, 0.291)
Pm (0.555, 0.756, 0.123)
Pm (0.689, 0.014, 0.570)
Pm (0.055, 0.123, 0.756)
Pm (0.189, 0.570, 0.014)
Pm (0.619, 0.496, 0.709)
Pm (0.811, 0.430, 0.986)
Pm (0.945, 0.877, 0.244)
Pm (0.311, 0.986, 0.430)
Pm (0.445, 0.244, 0.877)
Pm (0.881, 0.291, 0.504)
Pm (0.119, 0.709, 0.496)
Sm (0.544, 0.199, 0.300)
Sm (0.956, 0.700, 0.801)
Sm (0.044, 0.300, 0.199)
Sm (0.456, 0.801, 0.700)
Tb (0.750, 0.023, 0.977)
Tb (0.250, 0.977, 0.023)
Tm (0.750, 0.590, 0.410)
Tm (0.250, 0.410, 0.590)

* energy: -4.5893 eV/atom
* E_form: 0.115 eV/atom
* calculated density: 7.34 g/cm3

=====

5.
The following is a PBE-GGA calculation of crystalline BaZrSi4 at its relaxed geometry, from Alexandria.

Cell lengths 5.508, 5.508, 5.508 Å; angles 60.00, 60.00, 60.00 degrees
Sites, in units of the cell vectors:
Si (0.384, 0.847, 0.384)
Si (0.847, 0.384, 0.384)
Si (0.384, 0.384, 0.384)
Si (0.384, 0.384, 0.847)
Ba (0.000, 0.000, 0.000)
Zr (0.750, 0.750, 0.750)

* energy: -5.2505 eV/atom
* ΔE_f (raw): 0.110 eV/atom
* calculated density: 4.79 g/cm3

=====

6.
The following is a PBE-GGA calculation of crystalline Na3TlI4 at its relaxed geometry, from Alexandria.

Cell lengths 6.770, 9.656, 11.217 Å; angles 90.00, 90.00, 90.00 degrees
Sites, in units of the cell vectors:
Tl (0.564, 0.833, 0.500)
Tl (0.064, 0.167, 0.000)
Na (0.566, 0.830, 0.000)
Na (0.065, 0.666, 0.252)
Na (0.565, 0.334, 0.248)
Na (0.066, 0.170, 0.500)
Na (0.565, 0.334, 0.752)
Na (0.065, 0.666, 0.748)
I (0.064, 0.811, 0.000)
I (0.564, 0.657, 0.234)
I (0.064, 0.343, 0.734)
I (0.564, 0.657, 0.766)
I (0.063, 0.837, 0.500)
I (0.064, 0.343, 0.266)
I (0.564, 0.189, 0.500)
I (0.563, 0.163, 0.000)

* energy: -2.6335 eV/atom
* ΔE_f (raw): -1.068 eV/atom
* relative energy among the computed polymorphs: 29 meV per atom
* calculated density: 3.54 g/cm3

=====

7.
The following is a PBE-GGA calculation of crystalline LiPu2Br6 at its relaxed geometry, from Alexandria.

Cell lengths 6.853, 6.853, 12.971 Å; angles 90.00, 90.00, 90.00 degrees
Site moments in Bohr magnetons follow the coordinates.
Sites, in units of the cell vectors:
Br (0.805, 0.195, 0.842)  -0.03
Br (0.305, 0.305, 0.658)  -0.03
Br (0.204, 0.796, 0.500)  -0.04
Br (0.195, 0.805, 0.158)  -0.03
Br (0.305, 0.305, 0.342)  -0.03
Br (0.796, 0.204, 0.500)  -0.04
Br (0.296, 0.296, 0.000)  -0.04
Br (0.695, 0.695, 0.658)  -0.03
Br (0.805, 0.195, 0.158)  -0.03
Br (0.695, 0.695, 0.342)  -0.03
Br (0.195, 0.805, 0.842)  -0.03
Br (0.704, 0.704, 0.000)  -0.04
Pu (0.500, 0.500, 0.833)  5.46
Pu (0.000, 0.000, 0.333)  5.46
Pu (0.000, 0.000, 0.667)  5.46
Pu (0.500, 0.500, 0.167)  5.46
Li (0.500, 0.500, 0.500)  0.00
Li (0.000, 0.000, 0.000)  0.00

* energy: -6.0241 eV/atom
* ΔE_f (raw): -1.511 eV/atom
* relative energy among the computed polymorphs: 25 meV per atom
* calculated density: 5.31 g/cm3

=====

8.
The following is a PBE-GGA calculation of crystalline HfBeO2F at its relaxed geometry, from Alexandria.

Cell lengths 4.087, 4.087, 4.128 Å; angles 90.00, 90.00, 90.00 degrees
Site moments in Bohr magnetons follow the coordinates.
Sites, in units of the cell vectors:
Hf (0.000, 0.000, 0.000)  0.00
O (0.000, 0.500, 0.000)  0.05
O (0.500, 0.000, 0.000)  0.05
F (0.000, 0.000, 0.500)  0.01
Be (0.500, 0.500, 0.500)  0.27

* energy: -7.0514 eV/atom
* ΔE_f (raw): -1.958 eV/atom
* calculated density: 5.74 g/cm3

=====

9.
The following is a PBE-GGA calculation of crystalline KRb2AuCl6 at its relaxed geometry, from Alexandria.

Cell lengths 7.765, 7.765, 7.765 Å; angles 60.00, 60.00, 60.00 degrees
Site moments in Bohr magnetons follow the coordinates.
Sites, in units of the cell vectors:
Cl (0.771, 0.771, 0.229)  0.16
Cl (0.229, 0.771, 0.771)  0.16
Cl (0.229, 0.229, 0.771)  0.16
Cl (0.771, 0.229, 0.229)  0.16
Cl (0.229, 0.771, 0.229)  0.16
Cl (0.771, 0.229, 0.771)  0.16
Rb (0.750, 0.750, 0.750)  0.00
Rb (0.250, 0.250, 0.250)  0.00
Au (0.000, 0.000, 0.000)  0.73
K (0.500, 0.500, 0.500)  0.02

* energy: -2.9377 eV/atom
* ΔE_f (raw): -1.199 eV/atom
* calculated density: 3.11 g/cm3

=====

10.
The following is a PBE-GGA calculation of crystalline LaTb2Pm at its relaxed geometry, from Alexandria.

Cell lengths 3.649, 3.649, 11.928 Å; angles 81.20, 81.20, 60.00 degrees
Sites, in units of the cell vectors:
Tb (0.249, 0.249, 0.252)
Tb (0.084, 0.084, 0.749)
La (0.667, 0.667, 0.000)
Pm (0.500, 0.500, 0.499)

* energy: -4.7203 eV/atom
* E_form: 0.014 eV/atom
* relative energy among the computed polymorphs: 2 meV per atom
* calculated density: 7.38 g/cm3

=====

11.
The following is a PBE-GGA calculation of crystalline Li2YTmSe4 at its relaxed geometry, from Alexandria.

Cell lengths 4.047, 7.007, 6.899 Å; angles 109.75, 90.00, 90.00 degrees
Sites, in units of the cell vectors:
Se (0.000, 0.747, 0.251)
Se (0.000, 0.253, 0.749)
Se (0.500, 0.254, 0.253)
Se (0.500, 0.746, 0.747)
Tm (0.500, 0.500, 0.000)
Li (0.000, 0.500, 0.500)
Li (0.500, 0.000, 0.500)
Y (0.000, 0.000, 0.000)

* energy: -5.2868 eV/atom
* ΔE_f (raw): -1.699 eV/atom
* calculated density: 5.30 g/cm3

=====

12.
The following is a PBE-GGA calculation of crystalline CeSm2I at its relaxed geometry, from Alexandria.

Cell lengths 3.764, 3.764, 10.973 Å; angles 80.13, 80.13, 60.00 degrees
Site moments in Bohr magnetons follow the coordinates.
Sites, in units of the cell vectors:
Ce (0.500, 0.500, 0.501)  0.95
Sm (0.078, 0.078, 0.766)  0.07
Sm (0.255, 0.255, 0.234)  0.05
I (0.667, 0.667, 0.000)  0.00

* energy: -4.5326 eV/atom
* ΔE_f (raw): -0.302 eV/atom
* relative energy among the computed polymorphs: 0 meV per atom
* calculated density: 7.14 g/cm3